A plane-wave DFT calculation with PBE was carried out for a geometry-optimized YZnRu2 structure.

Results
spin magnetization: 0.00 Bohr magnetons per cell
formation energy: 0.26 eV per formula unit
crystal system: orthorhombic
density of states at the Fermi level: 4.68 states/eV per cell

Structure (POSCAR):
```
YZnRu2
1.0
-1.082 2.520 1.827
1.170 -2.385 3.982
3.930 1.760 -0.101
Ru Y Zn
2 1 1
Direct
0.000 0.000 0.000
0.500 0.500 0.000
0.500 0.000 0.500
0.000 0.500 0.500
```


A plane-wave DFT calculation with PBE was carried out for a geometry-optimized YZnRu2 structure.

Results
spin magnetization: 0.00 Bohr magnetons per cell
formation energy: 0.32 eV per formula unit
crystal system: monoclinic
density of states at the Fermi level: 4.15 states/eV per cell

Structure (POSCAR):
```
YZnRu2
1.0
-0.258 1.379 4.129
-2.931 -0.335 -0.071
-0.211 -5.130 1.700
Zn Ru Y
1 2 1
Direct
0.500 0.750 0.750
0.000 0.954 0.960
0.000 0.546 0.540
0.500 0.250 0.250
```